(1)
Compound: TiAgHg
Source: Alexandria via LeMat-Bulk
Functional: GGA-PBE
Structure: optimized geometry

Calculated values
Energy = -10.6 eV per formula unit
ΔE to the lowest computed polymorph = 3.37 kcal/mol of atoms
Symmetry = P4/nmm (129)
Calculated formation energy = 0.138 eV/atom

Cell lengths 4.080, 4.080, 7.115 Å; angles 90.00, 90.00, 90.00 degrees
Element x y z (fractional)
Ti  0.250  0.750  0.000
Ti  0.750  0.250  0.000
Ag  0.250  0.250  0.298
Ag  0.750  0.750  0.702
Hg  0.250  0.250  0.698
Hg  0.750  0.750  0.302

(2)
Compound: TiAg2Hg2
Source: Alexandria via LeMat-Bulk
Functional: GGA-PBE
Structure: optimized geometry

Calculated values
Energy = -12.9 eV per formula unit
ΔE to the lowest computed polymorph = 0.14 kcal/mol of atoms
Symmetry = P4/mbm (127)
Calculated formation energy = 0.265 eV/atom

Cell lengths 7.853, 7.853, 3.338 Å; angles 90.00, 90.00, 90.00 degrees
Element x y z (fractional)
Ti  0.000  0.000  0.000
Ti  0.500  0.500  0.000
Ag  0.165  0.335  0.500
Ag  0.335  0.835  0.500
Ag  0.665  0.165  0.500
Ag  0.835  0.665  0.500
Hg  0.137  0.637  0.000
Hg  0.363  0.137  0.000
Hg  0.637  0.863  0.000
Hg  0.863  0.363  0.000

(3)
Compound: TiAgHg
Source: Alexandria via LeMat-Bulk
Functional: GGA-PBE
Structure: optimized geometry

Calculated values
Energy = -10.6 eV per formula unit
ΔE to the lowest computed polymorph = 3.69 kcal/mol of atoms
Symmetry = P3m1 (156)
Calculated formation energy = 0.152 eV/atom

Cell lengths 3.022, 3.022, 7.224 Å; angles 90.00, 90.00, 120.00 degrees
Element x y z (fractional)
Ti  0.000  0.000  0.000
Ag  0.333  0.667  0.681
Hg  0.667  0.333  0.333

(4)
Compound: Ti2AgHg2
Source: Alexandria via LeMat-Bulk
Functional: GGA-PBE
Structure: optimized geometry

Calculated values
Energy = -18.4 eV per formula unit
ΔE to the lowest computed polymorph = 0.00 kcal/mol of atoms
Symmetry = P4/mbm (127)
Calculated formation energy = 0.175 eV/atom

Cell lengths 7.600, 7.600, 3.396 Å; angles 90.00, 90.00, 90.00 degrees
Element x y z (fractional)
Ti  0.165  0.335  0.000
Ti  0.335  0.835  0.000
Ti  0.665  0.165  0.000
Ti  0.835  0.665  0.000
Ag  0.000  0.000  0.500
Ag  0.500  0.500  0.500
Hg  0.136  0.636  0.500
Hg  0.364  0.136  0.500
Hg  0.636  0.864  0.500
Hg  0.864  0.364  0.500

(5)
Compound: Ti2AgHg
Source: Alexandria via LeMat-Bulk
Functional: GGA-PBE
Structure: optimized geometry

Calculated values
Energy = -17.3 eV per formula unit
Symmetry = I-42d (122)
Calculated formation energy = 0.423 eV/atom

Cell lengths 6.016, 6.016, 6.016 Å; angles 101.43, 101.43, 127.13 degrees
Element x y z (fractional)
Ti  0.117  0.625  0.992
Ti  0.375  0.367  0.492
Ti  0.633  0.125  0.008
Ti  0.875  0.883  0.508
Ag  0.000  0.000  0.000
Ag  0.750  0.250  0.500
Hg  0.250  0.750  0.500
Hg  0.500  0.500  0.000

(6)
Compound: Ti2AgHg
Source: Alexandria via LeMat-Bulk
Functional: GGA-PBE
Structure: optimized geometry

Calculated values
Energy = -18.8 eV per formula unit
Symmetry = P4/mmm (123)
Calculated formation energy = 0.034 eV/atom

Cell lengths 4.202, 4.202, 4.110 Å; angles 90.00, 90.00, 90.00 degrees
Element x y z (fractional)
Ti  0.000  0.500  0.000
Ti  0.500  0.000  0.000
Ag  0.000  0.000  0.500
Hg  0.500  0.500  0.500

(7)
Compound: Ti2AgHg2
Source: Alexandria via LeMat-Bulk
Functional: GGA-PBE
Structure: optimized geometry

Calculated values
Energy = -18.1 eV per formula unit
ΔE to the lowest computed polymorph = 1.08 kcal/mol of atoms
Symmetry = P4/mbm (127)
Calculated formation energy = 0.222 eV/atom

Cell lengths 8.142, 8.142, 3.053 Å; angles 90.00, 90.00, 90.00 degrees
Element x y z (fractional)
Ti  0.113  0.387  0.000
Ti  0.387  0.887  0.000
Ti  0.613  0.113  0.000
Ti  0.887  0.613  0.000
Ag  0.000  0.000  0.000
Ag  0.500  0.500  0.000
Hg  0.182  0.682  0.500
Hg  0.318  0.182  0.500
Hg  0.682  0.818  0.500
Hg  0.818  0.318  0.500

(8)
Compound: TiAgHg
Source: Alexandria via LeMat-Bulk
Functional: GGA-PBE
Structure: optimized geometry

Calculated values
Energy = -11.1 eV per formula unit
ΔE to the lowest computed polymorph = 0.00 kcal/mol of atoms
Symmetry = P4/nmm (129)
Calculated formation energy = -0.008 eV/atom

Cell lengths 3.015, 3.015, 12.419 Å; angles 90.00, 90.00, 90.00 degrees
Element x y z (fractional)
Ti  0.250  0.250  0.075
Ti  0.750  0.750  0.925
Ag  0.250  0.250  0.420
Ag  0.750  0.750  0.580
Hg  0.250  0.250  0.753
Hg  0.750  0.750  0.247

(9)
Compound: Ti2AgHg
Source: Alexandria via LeMat-Bulk
Functional: GGA-PBE
Structure: optimized geometry

Calculated values
Energy = -19.1 eV per formula unit
Symmetry = P4mm (99)
Calculated formation energy = -0.040 eV/atom

Cell lengths 3.038, 3.038, 7.938 Å; angles 90.00, 90.00, 90.00 degrees
Element x y z (fractional)
Ti  0.000  0.000  0.000
Ti  0.500  0.500  0.228
Ag  0.500  0.500  0.758
Hg  0.000  0.000  0.491

(10)
Compound: Ti2AgHg
Source: Alexandria via LeMat-Bulk
Functional: GGA-PBE
Structure: optimized geometry

Calculated values
Energy = -18.7 eV per formula unit
Symmetry = P4/mmm (123)
Calculated formation energy = 0.056 eV/atom

Cell lengths 2.986, 2.986, 8.149 Å; angles 90.00, 90.00, 90.00 degrees
Element x y z (fractional)
Ti  0.000  0.000  0.243
Ti  0.000  0.000  0.757
Ag  0.500  0.500  0.000
Hg  0.500  0.500  0.500

(11)
Compound: TiAg2Hg2
Source: Alexandria via LeMat-Bulk
Functional: GGA-PBE
Structure: optimized geometry

Calculated values
Energy = -12.9 eV per formula unit
ΔE to the lowest computed polymorph = 0.00 kcal/mol of atoms
Symmetry = P4/mbm (127)
Calculated formation energy = 0.259 eV/atom

Cell lengths 7.842, 7.842, 3.309 Å; angles 90.00, 90.00, 90.00 degrees
Element x y z (fractional)
Ti  0.000  0.000  0.000
Ti  0.500  0.500  0.000
Ag  0.127  0.373  0.000
Ag  0.373  0.873  0.000
Ag  0.627  0.127  0.000
Ag  0.873  0.627  0.000
Hg  0.174  0.674  0.500
Hg  0.326  0.174  0.500
Hg  0.674  0.826  0.500
Hg  0.826  0.326  0.500

(12)
Compound: TiTlAg2Hg
Source: Alexandria via LeMat-Bulk
Functional: GGA-PBE
Structure: optimized geometry

Calculated values
Energy = -12.6 eV per formula unit
Symmetry = P4/mmm (123)
Calculated formation energy = 0.733 eV/atom

Cell lengths 5.228, 5.228, 5.218 Å; angles 90.00, 90.00, 90.00 degrees
Element x y z (fractional)
Ti  0.000  0.000  0.000
Tl  0.500  0.500  0.000
Ag  0.000  0.500  0.500
Ag  0.500  0.000  0.500
Hg  0.000  0.000  0.500

(13)
Compound: Ti2TlAgHg
Source: Alexandria via LeMat-Bulk
Functional: GGA-PBE
Structure: optimized geometry

Calculated values
Energy = -16.6 eV per formula unit
Symmetry = P4/mmm (123)
Calculated formation energy = 0.942 eV/atom

Cell lengths 4.989, 4.989, 5.106 Å; angles 90.00, 90.00, 90.00 degrees
Element x y z (fractional)
Ti  0.000  0.500  0.000
Ti  0.500  0.000  0.000
Tl  0.000  0.000  0.500
Ag  0.000  0.000  0.000
Hg  0.500  0.500  0.500

(14)
Compound: YTiAgHg
Source: Alexandria via LeMat-Bulk
Functional: GGA-PBE
Structure: optimized geometry

Calculated values
Energy = -18.0 eV per formula unit
Symmetry = F-43m (216)
Calculated formation energy = -0.111 eV/atom

Cell lengths 4.978, 4.978, 4.978 Å; angles 60.00, 60.00, 60.00 degrees
Element x y z (fractional)
Y  0.000  0.000  0.000
Ti  0.500  0.500  0.500
Ag  0.750  0.750  0.750
Hg  0.250  0.250  0.250

(15)
Compound: TiZnAgHg
Source: Alexandria via LeMat-Bulk
Functional: GGA-PBE
Structure: optimized geometry

Calculated values
Energy = -12.1 eV per formula unit
Symmetry = F-43m (216)
Calculated formation energy = 0.044 eV/atom

Cell lengths 4.627, 4.627, 4.627 Å; angles 60.00, 60.00, 60.00 degrees
Element x y z (fractional)
Ti  0.000  0.000  0.000
Zn  0.500  0.500  0.500
Ag  0.750  0.750  0.750
Hg  0.250  0.250  0.250

(16)
Compound: ZrTiAgHg
Source: Alexandria via LeMat-Bulk
Functional: GGA-PBE
Structure: optimized geometry

Calculated values
Energy = -19.5 eV per formula unit
Symmetry = F-43m (216)
Calculated formation energy = 0.024 eV/atom

Cell lengths 4.829, 4.829, 4.829 Å; angles 60.00, 60.00, 60.00 degrees
Element x y z (fractional)
Zr  0.000  0.000  0.000
Ti  0.500  0.500  0.500
Ag  0.750  0.750  0.750
Hg  0.250  0.250  0.250

(17)
Compound: Tl3AgHg12
Source: Alexandria via LeMat-Bulk
Functional: GGA-PBE
Structure: optimized geometry

Calculated values
Energy = -13.4 eV per formula unit
Symmetry = P2/m (10)
Calculated formation energy = 0.013 eV/atom

Cell lengths 4.990, 5.051, 17.272 Å; angles 90.00, 90.31, 90.00 degrees
Element x y z (fractional)
Tl  0.000  0.000  0.000
Tl  0.004  0.000  0.269
Tl  0.996  0.000  0.731
Ag  0.000  0.000  0.500
Hg  0.000  0.500  0.391
Hg  0.000  0.500  0.609
Hg  0.003  0.500  0.132
Hg  0.497  0.000  0.608
Hg  0.497  0.500  0.740
Hg  0.498  0.000  0.867
Hg  0.500  0.500  0.000
Hg  0.500  0.500  0.500
Hg  0.502  0.000  0.133
Hg  0.503  0.000  0.392
Hg  0.503  0.500  0.260
Hg  0.997  0.500  0.868

(18)
Compound: TlAgHg
Source: Alexandria via LeMat-Bulk
Functional: GGA-PBE
Structure: optimized geometry

Calculated values
Energy = -5.3 eV per formula unit
ΔE to the lowest computed polymorph = 0.00 kcal/mol of atoms
Symmetry = C2/m (12)
Calculated formation energy = 0.063 eV/atom

Cell lengths 5.849, 5.849, 6.003 Å; angles 120.83, 120.83, 63.32 degrees
Element x y z (fractional)
Tl  0.132  0.132  0.382
Tl  0.868  0.868  0.618
Ag  0.500  0.500  0.000
Ag  0.500  0.500  0.500
Hg  0.000  0.500  0.000
Hg  0.500  0.000  0.000

(19)
Compound: TlAgHg
Source: Alexandria via LeMat-Bulk
Functional: GGA-PBE
Structure: optimized geometry

Calculated values
Energy = -5.2 eV per formula unit
ΔE to the lowest computed polymorph = 0.76 kcal/mol of atoms
Symmetry = I4mm (107)
Calculated formation energy = 0.097 eV/atom

Cell lengths 6.862, 6.862, 6.862 Å; angles 151.58, 151.58, 40.62 degrees
Element x y z (fractional)
Tl  0.000  0.000  0.000
Ag  0.336  0.336  0.000
Hg  0.694  0.694  0.000

(20)
Compound: Tl2AgHg12
Source: Alexandria via LeMat-Bulk
Functional: GGA-PBE
Structure: optimized geometry

Calculated values
Energy = -10.6 eV per formula unit
Symmetry = P4/nbm (125)
Calculated formation energy = 0.041 eV/atom

Cell lengths 6.189, 6.189, 22.350 Å; angles 90.00, 90.00, 90.00 degrees
Element x y z (fractional)
Tl  0.250  0.750  0.247
Tl  0.250  0.750  0.753
Tl  0.750  0.250  0.247
Tl  0.750  0.250  0.753
Ag  0.250  0.750  0.500
Ag  0.750  0.250  0.500
Hg  0.001  0.501  0.411
Hg  0.001  0.999  0.589
Hg  0.058  0.558  0.933
Hg  0.058  0.942  0.067
Hg  0.250  0.250  0.170
Hg  0.250  0.250  0.308
Hg  0.250  0.250  0.692
Hg  0.250  0.250  0.830
Hg  0.442  0.558  0.067
Hg  0.442  0.942  0.933
Hg  0.499  0.501  0.589
Hg  0.499  0.999  0.411
Hg  0.501  0.001  0.589
Hg  0.501  0.499  0.411
Hg  0.558  0.058  0.067
Hg  0.558  0.442  0.933
Hg  0.750  0.750  0.170
Hg  0.750  0.750  0.308
Hg  0.750  0.750  0.692
Hg  0.750  0.750  0.830
Hg  0.942  0.058  0.933
Hg  0.942  0.442  0.067
Hg  0.999  0.001  0.411
Hg  0.999  0.499  0.589